VASP calculation (GGA-PBEsol) on a geometry-optimized LaMg2Pb structure.

Structure (CIF):
```
data_LaMg2Pb
_cell_length_a 3.3793
_cell_length_b 3.3793
_cell_length_c 32.9949
_cell_angle_alpha 90.00
_cell_angle_beta 90.00
_cell_angle_gamma 120.00
_space_group_name_H-M_alt 'R -3 m'
_space_group_IT_number 166
_space_group_name_Hall '-R 3 2"'
loop_
_atom_site_label
_atom_site_type_symbol
_atom_site_fract_x
_atom_site_fract_y
_atom_site_fract_z
La1 La 0.0000 0.0000 0.0000
Mg1 Mg 0.0000 0.0000 0.2444
Pb1 Pb 0.0000 0.0000 0.5000
```

## Properties
V	27.2	A^3/atom
uncorrected energy	-38.82	eV/cell
calculated formation energy	-40	meV/atom
size of the total moment	0.0	μB per formula unit
DOS(E_F)	0.8509	states/eV per atom